Below is an optimized crystal structure of CuNi2NF, with properties calculated at the GGA+U level.

Output
DOS(E_F), states/eV/atom: 0.533
Uncorrected energy, eV/cell: -17.0

abc: 3.474 3.474 5.017
angles: 90.00 90.00 90.00
Space group P4/mmm (No. 123)
Asymmetric unit:
Cu 0.000 0.000 0.000
Ni 0.000 0.500 0.500
N 0.500 0.500 0.500
F 0.500 0.500 0.000